[1]
# UPa6Ta, relaxed, DFT PBE-GGA
# Fermi-level density of states (states/eV per cell): 15.867
# Formation enthalpy at 0 K (eV per formula unit): 1.3
# Total magnetic moment (μB/atom): 0.17
data_UPa6Ta
_chemical_formula_sum 'U1 Pa6 Ta1'
_cell_length_a 6.528
_cell_length_b 6.528
_cell_length_c 4.517
_cell_angle_alpha 90.00
_cell_angle_beta 90.00
_cell_angle_gamma 90.00
_symmetry_space_group_name_H-M 'P 4/m m m'
_symmetry_Int_Tables_number 123
_symmetry_space_group_name_Hall '-P 4 2'
loop_
_atom_site_label
_atom_site_fract_x
_atom_site_fract_y
_atom_site_fract_z
U1 0.000 0.000 0.000
Pa1 0.000 0.500 0.000
Pa2 0.254 0.254 0.500
Ta1 0.500 0.500 0.000

***

[2]
# U2PaTa, relaxed, DFT PBE-GGA
# Fermi-level density of states (states/eV per cell): 40.733
# ΔE to the lowest computed polymorph (eV/atom): 0.098
# Formation enthalpy at 0 K (eV per formula unit): 1.6
# Total magnetic moment (μB/atom): 1.14
data_U2PaTa
_chemical_formula_sum 'U8 Pa4 Ta4'
_cell_length_a 7.019
_cell_length_b 7.019
_cell_length_c 7.019
_cell_angle_alpha 90.00
_cell_angle_beta 90.00
_cell_angle_gamma 90.00
_symmetry_space_group_name_H-M 'F m -3 m'
_symmetry_Int_Tables_number 225
_symmetry_space_group_name_Hall '-F 4 2 3'
loop_
_atom_site_label
_atom_site_fract_x
_atom_site_fract_y
_atom_site_fract_z
U1 0.250 0.250 0.250
Pa1 0.000 0.000 0.000
Ta1 0.000 0.000 0.500

***

[3]
# UPa2Ta, relaxed, DFT PBE-GGA
# Fermi-level density of states (states/eV per cell): 25.943
# ΔE to the lowest computed polymorph (eV/atom): 0.078
# Formation enthalpy at 0 K (eV per formula unit): 1.2
# Total magnetic moment (μB/atom): 0.00
data_UPa2Ta
_chemical_formula_sum 'U3 Pa6 Ta3'
_cell_length_a 3.0150
_cell_length_b 3.0150
_cell_length_c 33.6048
_cell_angle_alpha 90.00
_cell_angle_beta 90.00
_cell_angle_gamma 120.00
_symmetry_space_group_name_H-M 'R -3 m'
_symmetry_Int_Tables_number 166
_symmetry_space_group_name_Hall '-R 3 2"'
loop_
_atom_site_label
_atom_site_fract_x
_atom_site_fract_y
_atom_site_fract_z
U1 0.0000 0.0000 0.0000
Pa1 0.0000 0.0000 0.0862
Ta1 0.0000 0.0000 0.5000

***

[4]
# UPaTa2, relaxed, DFT PBE-GGA
# Fermi-level density of states (states/eV per cell): 29.037
# ΔE to the lowest computed polymorph (eV/atom): 0.047
# Formation enthalpy at 0 K (eV per formula unit): 2.1
# Total magnetic moment (μB/atom): 0.37
data_UPaTa2
_chemical_formula_sum 'U3 Pa3 Ta6'
_cell_length_a 4.7415
_cell_length_b 4.7415
_cell_length_c 13.4415
_cell_angle_alpha 90.00
_cell_angle_beta 90.00
_cell_angle_gamma 120.00
_symmetry_space_group_name_H-M 'R -3 m'
_symmetry_Int_Tables_number 166
_symmetry_space_group_name_Hall '-R 3 2"'
loop_
_atom_site_label
_atom_site_fract_x
_atom_site_fract_y
_atom_site_fract_z
U1 0.0000 0.0000 0.0000
Pa1 0.0000 0.0000 0.5000
Ta1 0.0000 0.0000 0.2538

***

[5]
# UPaTa, relaxed, DFT PBE-GGA
# Fermi-level density of states (states/eV per cell): 9.662
# ΔE to the lowest computed polymorph (eV/atom): 0.131
# Formation enthalpy at 0 K (eV per formula unit): 0.5
# Total magnetic moment (μB/atom): 0.00
data_UPaTa
_chemical_formula_sum 'U2 Pa2 Ta2'
_cell_length_a 3.552
_cell_length_b 3.552
_cell_length_c 10.089
_cell_angle_alpha 90.00
_cell_angle_beta 90.00
_cell_angle_gamma 90.00
_symmetry_space_group_name_H-M 'I 4 m m'
_symmetry_Int_Tables_number 107
_symmetry_space_group_name_Hall 'I 4 -2'
loop_
_atom_site_label
_atom_site_fract_x
_atom_site_fract_y
_atom_site_fract_z
U1 0.000 0.000 0.000
Pa1 0.000 0.000 0.351
Ta1 0.000 0.000 0.665

***

[6]
# UPaTa, relaxed, DFT PBE-GGA
# Fermi-level density of states (states/eV per cell): 14.333
# ΔE to the lowest computed polymorph (eV/atom): 0.749
# Formation enthalpy at 0 K (eV per formula unit): 2.4
# Total magnetic moment (μB/atom): 0.37
data_UPaTa
_chemical_formula_sum 'U2 Pa2 Ta2'
_cell_length_a 5.968
_cell_length_b 4.639
_cell_length_c 5.251
_cell_angle_alpha 90.00
_cell_angle_beta 90.00
_cell_angle_gamma 90.00
_symmetry_space_group_name_H-M 'P m m a'
_symmetry_Int_Tables_number 51
loop_
_symmetry_equiv_pos_as_xyz
'x,y,z'
'-x,-y,-z'
'-x+1/2,-y,z'
'x+1/2,y,-z'
'x+1/2,-y,-z'
'-x+1/2,y,z'
'-x,y,-z'
'x,-y,z'
loop_
_atom_site_label
_atom_site_fract_x
_atom_site_fract_y
_atom_site_fract_z
U1 0.000 0.000 0.000
Pa1 0.250 0.000 0.467
Ta1 0.250 0.500 0.876